DFT (GGA-PBE) results for a relaxed CsHfHg2 crystal.

```
data_CsHfHg2
_symmetry_space_group_name_H-M 'P 1'
_symmetry_Int_Tables_number 1
_cell_length_a 5.572
_cell_length_b 5.572
_cell_length_c 5.572
_cell_angle_alpha 60.00
_cell_angle_beta 60.00
_cell_angle_gamma 60.00
loop_
_symmetry_equiv_pos_as_xyz
'x,y,z'
loop_
_atom_site_label
_atom_site_fract_x
_atom_site_fract_y
_atom_site_fract_z
Hg1 0.250 0.250 0.250
Hg2 0.750 0.750 0.750
Hf1 0.500 0.500 0.500
Cs1 0.000 0.000 0.000
```

Values from the calculation:
Polymorph energy (0 for the lowest one)   89.5 meV per atom
Space-group type   No. 225
Formation enthalpy at 0 K   633 meV/atom
Size of the total moment   0.0 μB/cell
Mass density   9.7 Mg/m³
Volume   30.6 Å³ per atom